# 1
A plane-wave DFT calculation with PBE was carried out for a relaxed Sb2PtAuI crystal.

Lattice parameters (Å, degrees): 5.2513 5.2513 5.5149 90.00 90.00 90.00
Sites, in units of the cell vectors:
I: 0.0000 0.0000 0.5000
Sb: 0.0000 0.5000 0.0000
Sb: 0.5000 0.0000 0.0000
Au: 0.5000 0.5000 0.5000
Pt: 0.0000 0.0000 0.0000

Total moment in Bohr magnetons per cell: 0.4
Crystal system: tetragonal
DOS(E_F) in states/eV per cell: 5.71
Uncorrected formation energy in kJ/mol of formula units: 263



# 2
A plane-wave DFT calculation with PBE was carried out for a relaxed Sb2PtAuI crystal.

Lattice parameters (Å, degrees): 5.3528 5.1805 5.3528 90.00 90.00 90.00
Sites, in units of the cell vectors:
I: 0.5000 0.5000 0.5000
Sb: 0.0000 0.0000 0.5000
Sb: 0.5000 0.0000 0.0000
Au: 0.0000 0.0000 0.0000
Pt: 0.0000 0.5000 0.0000

Total moment in Bohr magnetons per cell: 0.0
Crystal system: tetragonal
DOS(E_F) in states/eV per cell: 5.49
Uncorrected formation energy in kJ/mol of formula units: 349



# 3
A plane-wave DFT calculation with PBE was carried out for a relaxed ScPtAu2I crystal.

Lattice parameters (Å, degrees): 5.2327 5.2327 4.9968 90.00 90.00 90.00
Sites, in units of the cell vectors:
I: 0.0000 0.0000 0.0000
Sc: 0.5000 0.5000 0.5000
Au: 0.0000 0.5000 0.0000
Au: 0.5000 0.0000 0.0000
Pt: 0.0000 0.0000 0.5000

Total moment in Bohr magnetons per cell: 0.0
Crystal system: tetragonal
DOS(E_F) in states/eV per cell: 3.90
Uncorrected formation energy in kJ/mol of formula units: 394



# 4
A plane-wave DFT calculation with PBE was carried out for a relaxed Sm6Pt2AuI3 crystal.

Lattice parameters (Å, degrees): 7.3568 7.3568 8.3701 98.43 98.43 119.99
Sites, in units of the cell vectors:
Sm: 0.9362 0.5912 0.8088
Sm: 0.7184 0.7184 0.1904
Sm: 0.0638 0.4088 0.1912
Sm: 0.5912 0.9362 0.8088
Sm: 0.2816 0.2816 0.8096
Sm: 0.4088 0.0638 0.1912
Pt: 0.3331 0.6669 0.0000
Pt: 0.6669 0.3331 0.0000
Au: 0.0000 0.0000 0.0000
I: 0.1651 0.8349 0.5000
I: 0.8349 0.1651 0.5000
I: 0.5000 0.5000 0.5000

Total moment in Bohr magnetons per cell: 0.0
Crystal system: monoclinic
DOS(E_F) in states/eV per cell: 9.77
Uncorrected formation energy in kJ/mol of formula units: -1191



# 5
A plane-wave DFT calculation with PBE was carried out for a relaxed TePtAuI2 crystal.

Lattice parameters (Å, degrees): 5.5430 5.5430 5.2243 90.00 90.00 90.00
Sites, in units of the cell vectors:
I: 0.0000 0.5000 0.0000
I: 0.5000 0.0000 0.0000
Te: 0.0000 0.0000 0.5000
Au: 0.5000 0.5000 0.5000
Pt: 0.0000 0.0000 0.0000

Total moment in Bohr magnetons per cell: 0.5
Crystal system: tetragonal
DOS(E_F) in states/eV per cell: 5.60
Uncorrected formation energy in kJ/mol of formula units: 254



# 6
A plane-wave DFT calculation with PBE was carried out for a relaxed Tl2PtAuI6 crystal.

Lattice parameters (Å, degrees): 7.6435 8.1014 11.7188 90.00 88.65 90.00
Sites, in units of the cell vectors:
Tl: 0.0300 0.9137 0.2535
Tl: 0.5300 0.5863 0.7535
Tl: 0.9700 0.0863 0.7465
Tl: 0.4700 0.4137 0.2465
Pt: 0.5000 0.0000 0.5000
Pt: 0.0000 0.5000 0.0000
Au: 0.5000 0.0000 0.0000
Au: 0.0000 0.5000 0.5000
I: 0.2887 0.6917 0.0300
I: 0.7887 0.8083 0.5300
I: 0.7113 0.3083 0.9700
I: 0.2113 0.1917 0.4700
I: 0.2949 0.6991 0.4762
I: 0.7949 0.8009 0.9762
I: 0.7051 0.3009 0.5238
I: 0.2051 0.1991 0.0238
I: 0.9405 0.4922 0.2285
I: 0.4405 0.0078 0.7285
I: 0.0595 0.5078 0.7715
I: 0.5595 0.9922 0.2715

Total moment in Bohr magnetons per cell: 0.0
Crystal system: monoclinic
DOS(E_F) in states/eV per cell: 5.91
Uncorrected formation energy in kJ/mol of formula units: -276



Result set for ρ: 8.33 8.53 9.23 8.28 8.00 7.15 g cm⁻³, one per record in the order listed.